# 1
The following is a DFT calculation (PBE) of a relaxed TlP2PtS crystal.

Structure (POSCAR):
```
TlP2PtS
1.0
5.0532 0.0000 0.0000
0.0000 5.0532 0.0000
0.0000 0.0000 4.9334
P Pt S Tl
2 1 1 1
direct
0.5000 0.0000 0.0000 P
0.0000 0.5000 0.0000 P
0.5000 0.5000 0.5000 Pt
0.0000 0.0000 0.5000 S
0.0000 0.0000 0.0000 Tl
```

symmetry = P4/mmm
ΔE_f (raw) = 1.76 eV/atom
crystal system = tetragonal
N(E_F) = 6.194 states/eV/f.u.

***

# 2
The following is a DFT calculation (PBE) of a relaxed Tl2PPtS4 crystal.

Structure (POSCAR):
```
Tl2PPtS4
1.0
-6.2582 1.4545 -1.7392
-2.6206 -2.7814 -5.6340
-6.5523 -7.3370 4.7039
Pt S Tl P
2 8 4 2
direct
0.7500 0.5000 0.5000 Pt
0.0000 0.0000 0.0000 Pt
0.7838 0.0430 0.8579 S
0.3917 0.5430 0.6421 S
0.6847 0.9570 0.1421 S
0.5768 0.4570 0.3579 S
0.1732 0.0430 0.1421 S
0.0653 0.5430 0.3579 S
0.9662 0.4570 0.6421 S
0.3583 0.9570 0.8579 S
0.0374 0.5000 0.9252 Tl
0.2874 0.0000 0.4252 Tl
0.7126 0.0000 0.5748 Tl
0.4626 0.5000 0.0748 Tl
0.5000 0.0000 0.0000 P
0.2500 0.5000 0.5000 P
```

symmetry = Fddd
ΔE_f (raw) = -0.22 eV/atom
crystal system = orthorhombic
N(E_F) = 1.485 states/eV/f.u.

***

# 3
The following is a DFT calculation (PBE) of a relaxed TlPPtS2 crystal.

Structure (POSCAR):
```
TlPPtS2
1.0
-0.9891 4.8438 0.8348
-3.5947 -1.2936 3.2469
3.4141 0.0428 3.7969
Tl P S Pt
1 1 2 1
direct
0.0000 0.0000 0.0000 Tl
0.0000 0.0000 0.5000 P
0.5000 0.0000 0.0000 S
0.0000 0.5000 0.0000 S
0.5000 0.5000 0.5000 Pt
```

symmetry = P4/mmm
ΔE_f (raw) = 1.61 eV/atom
crystal system = tetragonal
N(E_F) = 6.583 states/eV/f.u.

***

# 4
The following is a DFT calculation (PBE) of a relaxed Tm6P2PtS3 crystal.

Structure (POSCAR):
```
Tm6P2PtS3
1.0
3.8922 0.0000 0.0000
0.0000 7.9009 0.2621
-1.9461 -2.3003 8.2741
S Tm P Pt
3 6 2 1
direct
0.1693 0.8317 0.3386 S
0.5000 0.5000 0.0000 S
0.8307 0.1683 0.6614 S
0.6674 0.0891 0.3347 Tm
0.0010 0.2498 0.0020 Tm
0.3326 0.9109 0.6653 Tm
0.3305 0.4217 0.6610 Tm
0.9990 0.7502 0.9980 Tm
0.6695 0.5783 0.3390 Tm
0.8334 0.6657 0.6667 P
0.1666 0.3343 0.3333 P
0.5000 0.0000 0.0000 Pt
```

symmetry = C2/m
ΔE_f (raw) = -1.72 eV/atom
crystal system = monoclinic
N(E_F) = 5.766 states/eV/f.u.

***

# 5
The following is a DFT calculation (PBE) of a relaxed Tm4PPtS2 crystal.

Structure (POSCAR):
```
Tm4PPtS2
1.0
-2.9689 2.1342 -1.3206
-4.3989 -4.9937 1.8188
-2.0517 1.1059 6.3995
S P Tm Pt
2 1 4 1
direct
0.0000 0.0000 0.0000 S
0.5000 0.0000 0.5000 S
0.0000 0.5000 0.5000 P
0.0000 0.2531 0.2496 Tm
0.5000 0.2546 0.7460 Tm
0.5000 0.7454 0.2540 Tm
0.0000 0.7469 0.7504 Tm
0.5000 0.5000 0.0000 Pt
```

symmetry = P2/m
ΔE_f (raw) = -1.64 eV/atom
crystal system = monoclinic
N(E_F) = 4.817 states/eV/f.u.

***

# 6
The following is a DFT calculation (PBE) of a relaxed VP2PtS crystal.

Structure (POSCAR):
```
VP2PtS
1.0
-0.3651 -4.5132 0.7469
1.4685 0.5940 4.3070
-4.5209 0.6070 1.4577
P V S Pt
2 1 1 1
direct
0.0000 0.5000 0.0000 P
0.5000 0.0000 0.0000 P
0.5000 0.5000 0.5000 V
0.0000 0.0000 0.5000 S
0.0000 0.0000 0.0000 Pt
```

symmetry = P4/mmm
ΔE_f (raw) = 1.00 eV/atom
crystal system = tetragonal
N(E_F) = 6.435 states/eV/f.u.

***

# 7
The following is a DFT calculation (PBE) of a relaxed V2PPtS crystal.

Structure (POSCAR):
```
V2PPtS
1.0
4.3843 0.0000 0.0000
0.0000 4.3345 0.0000
0.0000 0.0000 4.3843
P Pt V S
1 1 2 1
direct
0.0000 0.0000 0.0000 P
0.5000 0.5000 0.5000 Pt
0.0000 0.0000 0.5000 V
0.5000 0.0000 0.0000 V
0.0000 0.5000 0.0000 S
```

symmetry = P4/mmm
ΔE_f (raw) = 0.68 eV/atom
crystal system = tetragonal
N(E_F) = 6.004 states/eV/f.u.

***

# 8
The following is a DFT calculation (PBE) of a relaxed VP2PtS crystal.

Structure (POSCAR):
```
VP2PtS
1.0
-1.0665 0.1416 -4.4123
-4.4102 -0.2361 1.0584
-0.1875 4.3273 0.1841
P Pt S V
2 1 1 1
direct
0.0000 0.5000 0.0000 P
0.5000 0.0000 0.0000 P
0.5000 0.5000 0.5000 Pt
0.0000 0.0000 0.5000 S
0.0000 0.0000 0.0000 V
```

symmetry = P4/mmm
ΔE_f (raw) = 0.50 eV/atom
crystal system = tetragonal
N(E_F) = 3.378 states/eV/f.u.

***

Q: Which value of ΔE_f (raw) does entry 7 give?
A: 0.68 eV/atom